Entry from Alexandria via LeMat-Bulk: crystalline ZnW at its relaxed geometry (PBE).

Values from the calculation:
* formation enthalpy at 0 K: 1.670 eV/atom
* raw total energy: -87.10 eV per cell
* total magnetization: 0.44 μB/f.u.
* offset from the most stable computed form: 1508 meV per atom

Unit cell a=8.181 b=8.181 c=8.181 alpha=90.00 beta=90.00 gamma=90.00
Space group I-43m (No. 217)
One atom of each set of equivalent atoms:
1 Zn 0.205 0.205 0.205 (multiplicity 8)
2 W 0.108 0.108 0.892 (multiplicity 8)

Entry from Alexandria via LeMat-Bulk: crystalline Sm3TlSb at its relaxed geometry (PBE).

Values from the calculation:
* ΔE_f (raw): -503 meV per atom
* raw total energy: -46.33 eV per cell
* total magnetization: 0.00 μB/f.u.

Unit cell a=8.660 b=4.111 c=8.667 alpha=90.00 beta=98.42 gamma=90.00
Space group Pm (No. 6)
One atom of each set of equivalent atoms:
1 Sm 0.000 0.000 0.000 (multiplicity 1)
2 Sm 0.008 0.500 0.630 (multiplicity 1)
3 Sm 0.188 0.000 0.366 (multiplicity 1)
4 Sm 0.346 0.000 0.804 (multiplicity 1)
5 Sm 0.622 0.000 0.318 (multiplicity 1)
6 Sm 0.656 0.500 0.952 (multiplicity 1)
7 Tl 0.327 0.500 0.097 (multiplicity 1)
8 Tl 0.742 0.000 0.690 (multiplicity 1)
9 Sb 0.440 0.500 0.558 (multiplicity 1)
10 Sb 0.898 0.500 0.262 (multiplicity 1)

Entry from Alexandria via LeMat-Bulk: crystalline Sc2CrSiSn at its relaxed geometry (PBE).

Values from the calculation:
* ΔE_f (raw): 172 meV per atom
* raw total energy: -30.85 eV per cell
* total magnetization: 0.00 μB/f.u.

Unit cell a=4.851 b=4.851 c=4.526 alpha=90.00 beta=90.00 gamma=90.00
Space group P4/mmm (No. 123)
One atom of each set of equivalent atoms:
1 Sc 0.000 0.500 0.000 (multiplicity 2)
2 Cr 0.000 0.000 0.000 (multiplicity 1)
3 Si 0.000 0.000 0.500 (multiplicity 1)
4 Sn 0.500 0.500 0.500 (multiplicity 1)

Entry from Alexandria via LeMat-Bulk: crystalline Pa4Se5N at its relaxed geometry (PBE).

Values from the calculation:
* ΔE_f (raw): -1294 meV per atom
* raw total energy: -153.34 eV per cell
* total magnetization: 1.14 μB/f.u.

Unit cell a=17.101 b=3.822 c=7.809 alpha=90.00 beta=103.59 gamma=90.00
Space group C2/m (No. 12)
One atom of each set of equivalent atoms:
1 Pa 0.004 0.000 0.282 (multiplicity 4)
2 Pa 0.151 0.500 0.577 (multiplicity 4)
3 Se 0.000 0.500 0.000 (multiplicity 2)
4 Se 0.165 0.000 0.846 (multiplicity 4)
5 Se 0.175 0.000 0.318 (multiplicity 4)
6 N 0.000 0.500 0.500 (multiplicity 2)